Material: PmScSn6
Method: DFT, PBE-GGA
State: relaxed

The structure in extended XYZ format:
```
8
Lattice="4.800 0.000 0.000 0.000 4.800 0.000 0.000 0.000 8.977" Properties=species:S:1:pos:R:3 pbc="T T T"
Pm 0.000 0.000 0.000
Sc 0.000 0.000 4.489
Sn 2.400 2.400 0.000
Sn 2.400 2.400 4.489
Sn 2.400 0.000 2.344
Sn 2.400 0.000 6.633
Sn 0.000 2.400 2.344
Sn 0.000 2.400 6.633
```

Output
The total DFT energy (no corrections) is -4.769 eV/atom. The formation energy comes out at -36.8 kJ/mol of atoms. The crystal system is tetragonal. As for the space group: P4/mmm, No. 123. The total moment is 0.00 μB per cell.